A relaxed structure of Y2ZnCr. Source: the Alexandria database, functional GGA-PBE.

Properties
* SG: Cmmm (65)
* E above lowest polymorph: 0 meV/atom
* density: 5303 kg/m³
* ΔE_f: 13.8 meV per atom
* total moment: 3.954 μB/f.u.
* D(E_F): 3.16 states/eV/cell

Unit cell a=8.0090 b=5.0563 c=3.6159 alpha=90.00 beta=63.16 gamma=129.09
Element x y z (fractional)
Cr (0.5000, 0.5000, 0.0000)
Y (0.5000, 0.0000, 0.5000)
Y (0.0000, 0.0000, 0.0000)
Zn (0.0000, 0.5000, 0.5000)



A relaxed structure of RbCaO3. Source: the Alexandria database, functional GGA-PBE.

Properties
* SG: Pm-3m (221)
* E_form (uncorrected): -1.0511 eV/atom
* density: 3156 kg/m³
* total moment: 3.000 μB/f.u.
* D(E_F): 2.17 states/eV/cell

Unit cell a=4.5032 b=4.5032 c=4.5032 alpha=90.00 beta=90.00 gamma=90.00
Element x y z (fractional)
O (0.0000, 0.0000, 0.5000)
O (0.0000, 0.5000, 0.0000)
O (0.5000, 0.0000, 0.0000)
Ca (0.0000, 0.0000, 0.0000)
Rb (0.5000, 0.5000, 0.5000)